1.
The following is a PBE-GGA calculation of NaHoHgS3 after structural relaxation, from OQMD via LeMat-Bulk.

abc: 10.7887 4.0404 13.4461
angles: 90.00 90.00 90.00
Closest atoms and distances in Å follow each position.
Space group Pnma (No. 62)
Asymmetric unit:
1 Na 0.2133 0.2500 0.0235 [4 per cell]  3 S 2.92-2.93
2 Ho 0.0100 0.7500 0.2602 [4 per cell]  6 S 2.74-2.93
3 Hg 0.2391 0.7500 0.8084 [4 per cell]  4 S 2.45-2.68
4 S 0.0274 0.7500 0.8778 [4 per cell]  1 Hg 2.47
5 S 0.0593 0.2500 0.3925 [4 per cell]  1 Hg 2.45, 2 Ho 2.74
6 S 0.2390 0.2500 0.6770 [4 per cell]  2 Hg 2.68, 2 Ho 2.82-2.93, 2 Na 2.93

Results
**Energy above the lowest structure with this stoichiometry**: 0.000 eV per atom

***

2.
The following is a PBE-GGA calculation of LiGdPO after structural relaxation, from OQMD via LeMat-Bulk.

abc: 3.5259 7.5422 5.7072
angles: 90.00 90.00 90.00
Closest atoms and distances in Å follow each position.
Space group Pmc2_1 (No. 26)
Asymmetric unit:
1 Li 0.0000 0.0826 0.0000 [2 per cell]  2 O 1.90-1.98
2 Gd 0.5000 0.2974 0.3802 [2 per cell]  2 O 2.15
3 P 0.5000 0.3269 0.8762 [2 per cell]  2 Li 2.65, 3 Gd 2.83-2.88
4 O 0.0000 0.1384 0.3387 [2 per cell]  2 Li 1.90-1.98

Results
**Energy above the lowest structure with this stoichiometry**: 0.111 eV per atom

***

3.
The following is a PBE-GGA calculation of PrPaPd after structural relaxation, from OQMD via LeMat-Bulk.

abc: 6.9417 6.9417 6.9417
angles: 90.00 90.00 90.00
Closest atoms and distances in Å follow each position.
Space group F-43m (No. 216)
Asymmetric unit:
1 Pr 0.0000 0.0000 0.0000 [4 per cell]  4 Pd 3.01
2 Pa 0.0000 0.0000 0.5000 [4 per cell]  4 Pd 3.01
3 Pd 0.2500 0.2500 0.7500 [4 per cell]  4 Pr 3.01, 4 Pa 3.01

Results
**Formation energy**: 110 meV per atom

***

4.
The following is a PBE-GGA calculation of Co5W after structural relaxation, from OQMD via LeMat-Bulk.

abc: 4.5942 4.5942 15.1751
angles: 90.00 90.00 120.00
Closest atoms and distances in Å follow each position.
Space group P6_3/mmc (No. 194)
Asymmetric unit:
1 Co 0.0000 0.5000 0.0000 [6 per cell]  6 Co 2.30-2.34
2 Co 0.1628 0.3256 0.2500 [6 per cell]  6 Co 2.24-2.35
3 Co 0.3333 0.6667 0.1267 [4 per cell]  6 Co 2.31-2.34
4 Co 0.3333 0.6667 0.6563 [4 per cell]  13 Co 2.69-2.84, 3 W 2.82
5 W 0.0000 0.0000 0.0930 [4 per cell]  15 Co 2.70-2.82, 1 W 2.82

Results
**Energy above the lowest structure with this stoichiometry**: 0.000 eV per atom
**Formation energy**: 128 meV per atom

***

Calculated volume values, unit Å³/f.u., following the record order: 147; 76; 84; 69.